# 1
First-principles (SCAN) data for a PBEsol-optimized structure of BaTa2Cr, as listed in Alexandria via LeMat-Bulk.

Output
- size of the total moment (μB/f.u.) = 0.0
- formation energy (meV/atom) = 791

Cell lengths 4.157, 4.157, 6.921 Å; angles 72.52, 72.52, 60.00 degrees
Fractional coordinates of all 4 atoms:
Cr1 0.000 0.000 0.000
Ta1 0.295 0.295 0.115
Ta2 0.705 0.705 0.885
Ba1 0.500 0.500 0.500

***

# 2
First-principles (SCAN) data for a PBEsol-optimized structure of Tb3Si12Ru4, as listed in Alexandria via LeMat-Bulk.

Output
- size of the total moment (μB/f.u.) = 0.0
- VASP energy (eV per atom) = -21.700

Cell lengths 8.065, 8.070, 10.035 Å; angles 90.00, 113.69, 90.00 degrees
Fractional coordinates of all 38 atoms:
Ru1 0.331 0.500 0.661
Ru2 0.831 0.000 0.661
Si1 0.122 0.729 0.234
Tb1 0.497 0.250 0.500
Si2 0.112 0.506 0.766
Ru3 0.374 0.126 0.000
Tb2 0.500 0.500 0.000
Si3 0.154 0.006 0.766
Si4 0.888 0.729 0.766
Si5 0.622 0.771 0.234
Si6 0.878 0.271 0.766
Si7 0.612 0.229 0.234
Si8 0.295 0.000 0.589
Si9 0.112 0.271 0.234
Si10 0.205 0.500 0.411
Ru4 0.169 0.000 0.339
Si11 0.654 0.494 0.766
Si12 0.388 0.006 0.234
Si13 0.846 0.994 0.234
Si14 0.888 0.494 0.234
Ru5 0.626 0.874 0.000
Si15 0.332 0.833 0.000
Si16 0.705 0.000 0.411
Si17 0.832 0.667 0.000
Tb3 0.003 0.750 0.500
Si18 0.346 0.506 0.234
Si19 0.668 0.167 0.000
Ru6 0.669 0.500 0.339
Si20 0.795 0.500 0.589
Tb4 0.503 0.750 0.500
Ru7 0.874 0.374 0.000
Si21 0.168 0.333 0.000
Ru8 0.126 0.626 0.000
Si22 0.378 0.229 0.766
Si23 0.612 0.994 0.766
Tb5 0.997 0.250 0.500
Tb6 0.000 0.000 0.000
Si24 0.388 0.771 0.766

***

# 3
First-principles (SCAN) data for a PBEsol-optimized structure of Y5Mg, as listed in Alexandria via LeMat-Bulk.

Output
- size of the total moment (μB/f.u.) = 0.8
- formation energy (meV/atom) = -10

Cell lengths 3.545, 3.545, 14.052 Å; angles 90.00, 90.00, 90.00 degrees
Last column: magnetic moment on the atom in μB.
Fractional coordinates of all 6 atoms:
Y1 0.500 0.500 0.175  0.14
Y2 0.000 0.000 0.652  0.24
Y3 0.000 0.000 0.000  -0.24
Mg1 0.500 0.500 0.500  0.00
Y4 0.500 0.500 0.825  0.14
Y5 0.000 0.000 0.348  0.24

***

| no. | calculated density (g/cm3) |
| --- | --- |
| 1 | 9.42 |
| 2 | 6.76 |
| 3 | 4.41 |